# 1
Pr2MnGe4Pd3: optimized geometry, PBE-GGA.

It has space group P-4m2 (No. 115), with a = 4.2996 Å, b = 4.2996 Å, c = 10.5069 Å, α = 90.00°, β = 90.00° and γ = 90.00°. Symmetry generates all atoms from Pr at (0.0000, 0.5000, 0.2479), Mn at (0.0000, 0.0000, 0.5000), Ge at (0.0000, 0.0000, 0.0000), Ge at (0.0000, 0.5000, 0.6321), Ge at (0.5000, 0.5000, 0.0000), Pd at (0.0000, 0.5000, 0.8709) and Pd at (0.5000, 0.5000, 0.5000).

For the density of states at the Fermi level, the calculation gives 0.650 states/eV/atom. The calculated formation energy comes out at -0.7183 eV per atom.

# 2
Cs2TePt: optimized geometry, PBE-GGA.

It has space group I-42d (No. 122), with a = 12.8963 Å, b = 12.8963 Å, c = 5.2058 Å, α = 90.00°, β = 90.00° and γ = 90.00°. Symmetry generates all atoms from Cs at (0.0774, 0.7500, 0.1250), Te at (0.0000, 0.0000, 0.5000) and Pt at (0.0000, 0.0000, 0.0000).

The energy relative to the lowest polymorph listed for this composition comes out at 0 meV per atom. As for the uncorrected formation energy: -0.473 eV per atom. For the density of states at the Fermi level, the calculation gives 0.792 states/eV/atom.

# 3
Y2HoTm6Sc3: optimized geometry, PBE-GGA.

It has space group C2/m (No. 12), with a = 5.9893 Å, b = 10.3655 Å, c = 11.4034 Å, α = 90.00°, β = 100.06° and γ = 90.00°. Symmetry generates all atoms from Y at (0.0000, 0.1667, 0.0000), Ho at (0.0000, 0.5000, 0.0000), Tm at (0.2460, 0.5000, 0.7405), Tm at (0.2469, 0.1664, 0.7404), Sc at (0.0000, 0.0000, 0.5000) and Sc at (0.0000, 0.3334, 0.5000).

For the density of states at the Fermi level, the calculation gives 1.583 states/eV/atom. The calculated formation energy comes out at 0.0476 eV per atom.

# 4
CaZn2H6: optimized geometry, PBE-GGA.

It has space group C2/c (No. 15), with a = 10.1486 Å, b = 8.4605 Å, c = 5.4002 Å, α = 90.00°, β = 114.88° and γ = 90.00°. Symmetry generates all atoms from Ca at (0.0000, 0.1647, 0.2500), Zn at (0.2064, 0.4238, 0.1702), H at (0.1167, 0.0551, 0.6649), H at (0.1301, 0.2587, 0.0459) and H at (0.1456, 0.4267, 0.4421).

For the density of states at the Fermi level, the calculation gives 0.000 states/eV/atom. The total energy comes out at -103.0 eV/cell.

# 5
LiPaSe3: optimized geometry, PBE-GGA.

It has space group Pm-3m (No. 221), with a = 5.4772 Å, b = 5.4772 Å, c = 5.4772 Å, α = 90.00°, β = 90.00° and γ = 90.00°. Symmetry generates all atoms from Li at (0.0000, 0.0000, 0.0000), Pa at (0.5000, 0.5000, 0.5000) and Se at (0.0000, 0.5000, 0.5000).

The energy relative to the lowest polymorph listed for this composition comes out at 254 meV per atom. As for the uncorrected formation energy: -1.052 eV per atom.

# 6
La3YHo2As6: optimized geometry, PBE-GGA.

It has space group C2/m (No. 12), with a = 7.3534 Å, b = 12.7351 Å, c = 7.3404 Å, α = 90.00°, β = 109.50° and γ = 90.00°. Symmetry generates all atoms from La at (0.0000, 0.0000, 0.0000), La at (0.0000, 0.3335, 0.0000), Y at (0.0000, 0.5000, 0.5000), Ho at (0.0000, 0.1667, 0.5000), As at (0.2443, 0.0000, 0.7361) and As at (0.2459, 0.3328, 0.7361).

For the density of states at the Fermi level, the calculation gives 0.111 states/eV/atom. The calculated formation energy comes out at -1.5456 eV per atom.

# 7
Dy2Al2GaPd5: optimized geometry, PBE-GGA.

It has space group P4/mbm (No. 127), with a = 10.3180 Å, b = 10.3180 Å, c = 3.3385 Å, α = 90.00°, β = 90.00° and γ = 90.00°. Symmetry generates all atoms from Dy at (0.1754, 0.3246, 0.0000), Al at (0.1264, 0.6264, 0.0000), Ga at (0.0000, 0.0000, 0.0000), Pd at (0.0000, 0.5000, 0.5000) and Pd at (0.0505, 0.7996, 0.5000).

For the density of states at the Fermi level, the calculation gives 0.754 states/eV/atom. The calculated formation energy comes out at -0.7616 eV per atom.

# 8
InReAg2: optimized geometry, PBE-GGA.

It has space group R-3m (No. 166, hexagonal axes), with a = 2.9038 Å, b = 2.9038 Å, c = 29.3545 Å, α = 90.00°, β = 90.00° and γ = 120.00°. Symmetry generates all atoms from In at (0.0000, 0.0000, 0.0000), Re at (0.0000, 0.0000, 0.5000) and Ag at (0.0000, 0.0000, 0.2464).

For the density of states at the Fermi level, the calculation gives 0.749 states/eV/atom. The calculated formation energy comes out at 0.5255 eV per atom.

# 9
La2AlW: optimized geometry, PBE-GGA.

It has space group Imm2 (No. 44), with a = 3.9564 Å, b = 5.0458 Å, c = 9.9827 Å, α = 90.00°, β = 90.00° and γ = 90.00°. Symmetry generates all atoms from La at (0.0000, 0.0000, 0.0000), La at (0.0000, 0.5000, 0.2166), Al at (0.0000, 0.0000, 0.4428) and W at (0.0000, 0.5000, 0.7725).

For the density of states at the Fermi level, the calculation gives 0.948 states/eV/atom. The calculated formation energy comes out at 0.2298 eV per atom.

# 10
CePmErTm2: optimized geometry, PBE-GGA.

It has space group Pmma (No. 51), with a = 5.7988 Å, b = 7.6587 Å, c = 7.2308 Å, α = 90.00°, β = 90.00° and γ = 90.00°. Symmetry generates all atoms from Ce at (0.0000, 0.0000, 0.0000), Pm at (0.2500, 0.5000, 0.1638), Er at (0.2500, 0.0000, 0.3838) and Tm at (0.2500, 0.2906, 0.6754).

For the density of states at the Fermi level, the calculation gives 1.883 states/eV/atom. The calculated formation energy comes out at 0.2954 eV per atom.

# 11
MnFeAs: optimized geometry, PBE-GGA.

It has space group F-43m (No. 216), with a = 5.5129 Å, b = 5.5129 Å, c = 5.5129 Å, α = 90.00°, β = 90.00° and γ = 90.00°. Symmetry generates all atoms from Mn at (0.0000, 0.0000, 0.0000), Fe at (0.2500, 0.2500, 0.2500) and As at (0.0000, 0.0000, 0.5000).

For the density of states at the Fermi level, the calculation gives 1.014 states/eV/atom. The calculated formation energy comes out at -0.1188 eV per atom.

# 12
LiMg5TlGa2: optimized geometry, PBE-GGA.

It has space group I4/mcm (No. 140), with a = 7.5104 Å, b = 7.5104 Å, c = 13.9524 Å, α = 90.00°, β = 90.00° and γ = 90.00°. Symmetry generates all atoms from Li at (0.0000, 0.5000, 0.2500), Mg at (0.0000, 0.0000, 0.0000), Mg at (0.2050, 0.2950, 0.1283), Tl at (0.0000, 0.0000, 0.2500) and Ga at (0.1125, 0.3875, 0.5000).

For the density of states at the Fermi level, the calculation gives 0.284 states/eV/atom. The calculated formation energy comes out at -0.0280 eV per atom.

no.,magnetization (μB/atom)
1,0.3410
2,0.0001
3,0.0000
4,0.0000
5,0.0000
6,0.0000
7,0.0000
8,0.0000
9,0.0000
10,0.3100
11,0.6666
12,0.0000